Arrangement i

The following is a DFT calculation (PBE) of crystalline Cr3CoH at its relaxed geometry.

POSCAR file:
```
Cr3CoH
1.0
3.619 0.000 0.000
0.000 3.619 0.000
0.000 0.000 3.619
Cr H Co
3 1 1
Direct
0.000 0.000 0.500
0.000 0.500 0.000
0.500 0.000 0.000
0.000 0.000 0.000
0.500 0.500 0.500
```

Output
**Size of the total moment**: 0.0 μB per formula unit
**Fermi-level density of states**: 5.8 states/eV/f.u.

Arrangement ii

The following is a DFT calculation (PBE) of crystalline Cr3CoH at its relaxed geometry.

POSCAR file:
```
Cr3CoH
1.0
4.202 0.000 0.000
0.000 4.202 0.000
0.000 0.000 4.202
Co Cr H
1 3 1
Direct
0.000 0.000 0.000
0.500 0.000 0.000
0.000 0.500 0.000
0.000 0.000 0.500
0.500 0.500 0.500
```

Output
**Size of the total moment**: 0.0 μB per formula unit
**Fermi-level density of states**: 8.8 states/eV/f.u.

Which of them is the most stable? Correct choice: arrangement i.

Arrangement i

The following is a DFT calculation (PBE) of crystalline CrCoH at its relaxed geometry.

POSCAR file:
```
CrCoH
1.0
-2.262 0.666 -1.100
-1.274 -1.462 1.736
1.513 3.404 2.026
Co H Cr
1 1 1
Direct
0.966 0.966 0.933
0.213 0.213 0.426
0.670 0.670 0.341
```

Output
**Size of the total moment**: 0.0 μB per formula unit
**Fermi-level density of states**: 2.6 states/eV/f.u.

Arrangement ii

The following is a DFT calculation (PBE) of crystalline CrCoH at its relaxed geometry.

POSCAR file:
```
CrCoH
1.0
-0.168 1.579 -3.213
-0.702 -2.215 -1.052
-5.108 0.969 0.743
Co H Cr
2 2 2
Direct
0.003 0.947 0.518
0.503 0.465 0.243
0.003 0.468 0.278
0.503 0.944 0.483
0.003 0.998 0.003
0.503 0.414 0.758
```

Output
**Size of the total moment**: 0.0 μB per formula unit
**Fermi-level density of states**: 3.5 states/eV/f.u.

Which of them is the most stable? Correct choice: arrangement ii.

Arrangement i

The following is a DFT calculation (PBE) of crystalline CrCo2HIr at its relaxed geometry.

POSCAR file:
```
CrCo2HIr
1.0
3.680 0.000 0.000
0.000 3.680 0.000
0.000 0.000 3.764
Co H Cr Ir
2 1 1 1
Direct
0.500 0.000 0.000
0.000 0.500 0.000
0.000 0.000 0.000
0.500 0.500 0.500
0.000 0.000 0.500
```

Output
**Size of the total moment**: 0.2 μB per formula unit
**Fermi-level density of states**: 4.3 states/eV/f.u.

Arrangement ii

The following is a DFT calculation (PBE) of crystalline CrCo2HIr at its relaxed geometry.

POSCAR file:
```
CrCo2HIr
1.0
-0.499 3.317 -1.368
-3.361 -0.915 -0.993
-1.292 1.167 3.301
Co H Cr Ir
2 1 1 1
Direct
0.000 0.500 0.000
0.500 0.000 0.000
0.000 0.000 0.000
0.000 0.000 0.500
0.500 0.500 0.500
```

Output
**Size of the total moment**: 1.3 μB per formula unit
**Fermi-level density of states**: 5.9 states/eV/f.u.

Which of them is the most stable? Correct choice: arrangement ii.

Arrangement i

The following is a DFT calculation (PBE) of crystalline MnCr2CoH at its relaxed geometry.

POSCAR file:
```
MnCr2CoH
1.0
3.650 0.000 0.000
0.000 3.650 0.000
0.000 0.000 3.545
Mn H Co Cr
1 1 1 2
Direct
0.500 0.500 0.500
0.000 0.000 0.000
0.000 0.000 0.500
0.500 0.000 0.000
0.000 0.500 0.000
```

Output
**Size of the total moment**: 0.3 μB per formula unit
**Fermi-level density of states**: 4.9 states/eV/f.u.

Arrangement ii

The following is a DFT calculation (PBE) of crystalline MnCr2CoH at its relaxed geometry.

POSCAR file:
```
MnCr2CoH
1.0
3.618 0.000 0.000
0.000 3.618 0.000
0.000 0.000 3.594
Mn Cr H Co
1 2 1 1
Direct
0.000 0.000 0.500
0.500 0.000 0.000
0.000 0.500 0.000
0.000 0.000 0.000
0.500 0.500 0.500
```

Output
**Size of the total moment**: 0.6 μB per formula unit
**Fermi-level density of states**: 4.6 states/eV/f.u.

Which of them is the most stable? Correct choice: arrangement i.